The following is a PBE-GGA calculation of an optimized crystal structure of TaBe3H, from Alexandria.

energy: -2.94 eV/atom
theoretical density: 3.235 g/cm³
energy relative to the lowest polymorph listed for this composition: 2176 meV/atom
SG: Pm-3m
spin magnetization: 0.1711 μB per atom

Cell: 4.7516 4.7516 4.7516 Å, 90.00 90.00 90.00°
With the nearest neighbours (Å) after each atom.
Element x y z (fractional)
Be 0.0000 0.0000 0.5000  2 Ta 2.38
Be 0.5000 0.0000 0.0000  2 Ta 2.38
Be 0.0000 0.5000 0.0000  2 Ta 2.38
Ta 0.0000 0.0000 0.0000  6 Be 2.38
H 0.5000 0.5000 0.5000  12 Be 3.36

=====

The following is a PBE-GGA calculation of an optimized crystal structure of La2NdDy4Tm, from Alexandria.

energy relative to the elements: 0.39 eV/atom
energy: -4.29 eV/atom
theoretical density: 7.619 g/cm³
SG: Imma
spin magnetization: 0.0022 μB per atom

Cell: 9.5608 9.5608 11.9115 Å, 128.53 128.53 88.24°
With the nearest neighbours (Å) after each atom.
Element x y z (fractional)
Dy 0.7445 0.2580 0.5013  1 Tm 3.24, 2 Dy 3.39-3.43, 3 La 3.42-3.44, 2 Nd 3.43
Dy 0.2555 0.7420 0.4987  1 Tm 3.24, 2 Dy 3.39-3.43, 3 La 3.42-3.44, 2 Nd 3.43
Dy 0.7503 0.7505 0.5072  3 La 3.33-3.50, 1 Nd 3.33, 2 Tm 3.36, 2 Dy 3.41
Dy 0.2497 0.2495 0.4928  3 La 3.33-3.50, 1 Nd 3.33, 2 Tm 3.36, 2 Dy 3.41
Dy 0.7580 0.2445 0.0013  1 Tm 3.24, 2 Dy 3.39-3.43, 3 La 3.42-3.44, 2 Nd 3.43
Dy 0.7495 0.7497 0.9928  3 La 3.33-3.50, 1 Nd 3.33, 2 Tm 3.36, 2 Dy 3.41
Dy 0.2420 0.7555 0.9987  1 Tm 3.24, 2 Dy 3.39-3.43, 3 La 3.42-3.44, 2 Nd 3.43
Dy 0.2505 0.2503 0.0072  3 La 3.33-3.50, 1 Nd 3.33, 2 Tm 3.36, 2 Dy 3.41
Nd 0.0000 0.5000 0.5000  6 Dy 3.33-3.43, 2 La 3.41
Nd 0.0000 0.5000 0.0000  6 Dy 3.33-3.43, 2 La 3.41
La 0.5000 0.0000 0.5000  6 Dy 3.33-3.44, 2 Nd 3.41
La 0.5000 0.5000 0.0000  2 La 3.41, 6 Dy 3.42-3.50
La 0.5000 0.0000 0.0000  6 Dy 3.33-3.44, 2 Nd 3.41
La 0.0000 0.0000 0.5000  2 La 3.41, 6 Dy 3.42-3.50
Tm 0.5000 0.5000 0.5000  6 Dy 3.24-3.36, 2 Tm 3.41
Tm 0.0000 0.0000 0.0000  6 Dy 3.24-3.36, 2 Tm 3.41

=====

The following is a PBE-GGA calculation of an optimized crystal structure of ScHgMo2, from Alexandria.

energy relative to the elements: 0.86 eV/atom
energy: -6.21 eV/atom
theoretical density: 9.201 g/cm³
SG: I-42d
spin magnetization: 0.0000 μB per atom

Cell: 7.6307 7.6307 6.0387 Å, 50.82 50.82 90.00°
With the nearest neighbours (Å) after each atom.
Element x y z (fractional)
Mo 0.6345 0.1250 0.2500  2 Mo 2.72, 2 Hg 2.73, 2 Sc 2.83
Mo 0.3750 0.3655 0.7500  2 Mo 2.72, 2 Hg 2.73, 2 Sc 2.83
Mo 0.1155 0.6250 0.2500  2 Mo 2.72, 2 Hg 2.73, 2 Sc 2.83
Mo 0.8750 0.8845 0.7500  2 Mo 2.72, 2 Hg 2.73, 2 Sc 2.83
Sc 0.2500 0.7500 0.5000  2 Hg 2.71, 4 Mo 2.83
Sc 0.5000 0.5000 0.0000  2 Hg 2.71, 4 Mo 2.83
Hg 0.0000 0.0000 0.0000  2 Sc 2.71, 4 Mo 2.73
Hg 0.7500 0.2500 0.5000  2 Sc 2.71, 4 Mo 2.73

=====

Q: Look up the energy of the third one.
A: -6.21 eV/atom